A relaxed structure of Nd4As2PAu, computed with PBE-GGA.

Unit cell a=7.3382 b=4.2421 c=7.4381 alpha=90.00 beta=108.90 gamma=90.00
Sites, in units of the cell vectors:
Nd: 0.2420 0.0000 0.2349
Nd: 0.2502 0.5000 0.7612
Nd: 0.7498 0.5000 0.2388
Nd: 0.7580 0.0000 0.7651
As: 0.0000 0.0000 0.5000
As: 0.0000 0.5000 0.0000
P: 0.5000 0.0000 0.0000
Au: 0.5000 0.5000 0.5000

Values from the calculation:
E_tot = -5.904 eV per atom
space group = P2/m (10)
energy relative to the elements = -1.271 eV/atom